Entry 1:
CsInAu3 | Alexandria via LeMat-Bulk | SCAN | single point on PBEsol structure; space group = Pm-3m; DFT formation energy = 5.608 eV per formula unit
1.0
5.8147 0.0000 0.0000
0.0000 5.8147 0.0000
0.0000 0.0000 5.8147
Cs In Au
1 1 3
Direct
0.0000 0.0000 0.0000 Cs
0.5000 0.5000 0.5000 In
0.0000 0.0000 0.5000 Au
0.0000 0.5000 0.0000 Au
0.5000 0.0000 0.0000 Au



Entry 2:
LaBe2Tl | Alexandria via LeMat-Bulk | SCAN | single point on PBEsol structure; space group = P4mm; excess energy over the best structure of this formula in the dataset = 50 meV per atom; DFT formation energy = 0.890 eV per formula unit
1.0
3.1290 0.0000 0.0000
0.0000 3.1290 0.0000
0.0000 0.0000 7.5181
La Be Tl
1 2 1
Direct
0.0000 0.0000 0.0000 La
0.0000 0.0000 0.6010 Be
0.5000 0.5000 0.7080 Be
0.5000 0.5000 0.3509 Tl



Entry 3:
MnTeOs | Alexandria via LeMat-Bulk | SCAN | single point on PBEsol structure; uncorrected formation energy = 516 meV/atom; space group = P3m1; excess energy over the best structure of this formula in the dataset = 0 meV per atom
1.0
3.0574 0.0000 0.0000
-1.5287 2.6478 0.0000
0.0000 0.0000 6.0846
Mn Te Os
1 1 1
Direct
0.0000 0.0000 0.0000 Mn
0.3333 0.6667 0.3427 Te
0.6667 0.3333 0.7121 Os



Entry 4:
Al3GaI | Alexandria via LeMat-Bulk | SCAN | single point on PBEsol structure; uncorrected formation energy = 1345 meV/atom; space group = Pm-3m
1.0
5.6469 0.0000 0.0000
0.0000 5.6469 0.0000
0.0000 0.0000 5.6469
Al Ga I
3 1 1
Direct
0.0000 0.0000 0.5000 Al
0.0000 0.5000 0.0000 Al
0.5000 0.0000 0.0000 Al
0.5000 0.5000 0.5000 Ga
0.0000 0.0000 0.0000 I



Entry 5:
NaTc3Ge | Alexandria via LeMat-Bulk | SCAN | single point on PBEsol structure; space group = Pm-3m; DFT formation energy = 6.772 eV per formula unit
1.0
4.5800 0.0000 0.0000
0.0000 4.5800 0.0000
0.0000 0.0000 4.5800
Na Tc Ge
1 3 1
Direct
0.0000 0.0000 0.0000 Na
0.0000 0.5000 0.5000 Tc
0.5000 0.0000 0.5000 Tc
0.5000 0.5000 0.0000 Tc
0.5000 0.5000 0.5000 Ge



Entry 6:
PdPtW2Cl | Alexandria via LeMat-Bulk | SCAN | single point on PBEsol structure; uncorrected formation energy = 1593 meV/atom; space group = P4/mmm
1.0
4.3231 0.0000 0.0000
0.0000 4.3231 0.0000
0.0000 0.0000 4.4286
Pd Pt W Cl
1 1 2 1
Direct
0.0000 0.0000 0.0000 Pd
0.5000 0.5000 0.0000 Pt
0.0000 0.5000 0.5000 W
0.5000 0.0000 0.5000 W
0.5000 0.5000 0.5000 Cl



Entry 7:
IrRu2Rh | Alexandria via LeMat-Bulk | SCAN | single point on PBEsol structure; space group = R3m; excess energy over the best structure of this formula in the dataset = 19 meV per atom; DFT formation energy = 0.057 eV per formula unit
1.0
2.6753 0.0000 0.0000
-1.3376 2.3168 0.0000
0.0000 0.0000 26.2174
Ir Ru Rh
3 6 3
Direct
0.0000 0.0000 0.0000 Ir
0.3333 0.6667 0.6667 Ir
0.6667 0.3333 0.3333 Ir
0.0000 0.0000 0.4979 Ru
0.0000 0.0000 0.7500 Ru
0.3333 0.6667 0.1646 Ru
0.3333 0.6667 0.4167 Ru
0.6667 0.3333 0.0833 Ru
0.6667 0.3333 0.8313 Ru
0.0000 0.0000 0.2478 Rh
0.3333 0.6667 0.9144 Rh
0.6667 0.3333 0.5811 Rh



Entry 8:
Ca3Al2As4 | Alexandria via LeMat-Bulk | SCAN | single point on PBEsol structure; space group = C2/c; DFT formation energy = -9.873 eV per formula unit
1.0
6.4576 -5.0355 0.0000
6.4576 5.0355 0.0000
-0.1521 0.0000 6.5532
Ca Al As
6 4 8
Direct
0.0988 0.9012 0.7500 Ca
0.2514 0.5055 0.0258 Ca
0.4945 0.7486 0.4742 Ca
0.5055 0.2514 0.5258 Ca
0.7486 0.4945 0.9742 Ca
0.9012 0.0988 0.2500 Ca
0.0793 0.3291 0.5887 Al
0.3291 0.0793 0.0887 Al
0.6709 0.9207 0.9113 Al
0.9207 0.6709 0.4113 Al
0.0641 0.2439 0.9414 As
0.2207 0.5601 0.5251 As
0.2439 0.0641 0.4414 As
0.4399 0.7793 0.9749 As
0.5601 0.2207 0.0251 As
0.7561 0.9359 0.5586 As
0.7793 0.4399 0.4749 As
0.9359 0.7561 0.0586 As



| no. | raw total energy (eV/atom) |
| --- | --- |
| 1 | -54.612 |
| 2 | -30.820 |
| 3 | -41.946 |
| 4 | -13.924 |
| 5 | -24.342 |
| 6 | -48.471 |
| 7 | -43.617 |
| 8 | -15.014 |